[1]
Ba3CaSn2O6 | GGA-PBE | optimized geometry

## Properties
crystal system = trigonal
size of the total moment = 0.0 μB/f.u.
calculated density = 5.5 g cm⁻³
E = -6.086 eV/atom

The structure in CIF format:
```
data_Ba3CaSn2O6
_chemical_formula_sum 'Ba3 Ca1 Sn2 O6'
_cell_length_a 6.2041
_cell_length_b 6.2041
_cell_length_c 7.1225
_cell_angle_alpha 90.00
_cell_angle_beta 90.00
_cell_angle_gamma 120.00
_symmetry_space_group_name_H-M 'P -3 m 1'
_symmetry_Int_Tables_number 164
_symmetry_space_group_name_Hall '-P 3 2"'
loop_
_atom_site_label
_atom_site_type_symbol
_atom_site_fract_x
_atom_site_fract_y
_atom_site_fract_z
Ba1 Ba 0.0000 0.0000 0.0000
Ba2 Ba 0.3333 0.6667 0.6242
Ca1 Ca 0.0000 0.0000 0.5000
Sn1 Sn 0.3333 0.6667 0.1466
O1 O 0.1727 0.3454 0.3036
```



[2]
BaCaSn4O12 | GGA-PBE | optimized geometry

## Properties
crystal system = orthorhombic
size of the total moment = 4.0 μB/f.u.
calculated density = 5.1 g cm⁻³
E = -5.841 eV/atom

The structure in CIF format:
```
data_BaCaSn4O12
_chemical_formula_sum 'Ba2 Ca2 Sn8 O24'
_cell_length_a 8.164
_cell_length_b 8.200
_cell_length_c 8.201
_cell_angle_alpha 90.00
_cell_angle_beta 90.00
_cell_angle_gamma 90.00
_symmetry_space_group_name_H-M 'A m m 2'
_symmetry_Int_Tables_number 38
_symmetry_space_group_name_Hall 'A 2 -2'
loop_
_atom_site_label
_atom_site_type_symbol
_atom_site_fract_x
_atom_site_fract_y
_atom_site_fract_z
Ba1 Ba 0.000 0.000 0.000
Ca1 Ca 0.500 0.000 0.538
Sn1 Sn 0.255 0.243 0.267
O1 O 0.000 0.227 0.264
O2 O 0.240 0.000 0.744
O3 O 0.252 0.226 0.016
O4 O 0.303 0.000 0.310
O5 O 0.500 0.206 0.739
```



[3]
Ba2CaSnO | GGA-PBE | optimized geometry

## Properties
crystal system = tetragonal
size of the total moment = 0.0 μB/f.u.
calculated density = 4.9 g cm⁻³
E = -4.364 eV/atom

The structure in CIF format:
```
data_Ba2CaSnO
_chemical_formula_sum 'Ba2 Ca1 Sn1 O1'
_cell_length_a 5.540
_cell_length_b 5.540
_cell_length_c 4.934
_cell_angle_alpha 90.00
_cell_angle_beta 90.00
_cell_angle_gamma 90.00
_symmetry_space_group_name_H-M 'P 4/m m m'
_symmetry_Int_Tables_number 123
_symmetry_space_group_name_Hall '-P 4 2'
loop_
_atom_site_label
_atom_site_type_symbol
_atom_site_fract_x
_atom_site_fract_y
_atom_site_fract_z
Ba1 Ba 0.000 0.500 0.000
Ca1 Ca 0.000 0.000 0.500
Sn1 Sn 0.500 0.500 0.500
O1 O 0.000 0.000 0.000
```



[4]
Ba2Ca2Tl2Sn3O10 | GGA-PBE | optimized geometry

## Properties
crystal system = monoclinic
size of the total moment = 0.0 μB/f.u.
calculated density = 6.4 g cm⁻³
E = -5.717 eV/atom

The structure in CIF format:
```
data_Ba2Ca2Tl2Sn3O10
_chemical_formula_sum 'Ba4 Ca4 Tl4 Sn6 O20'
_cell_length_a 40.775
_cell_length_b 4.137
_cell_length_c 3.933
_cell_angle_alpha 90.00
_cell_angle_beta 90.51
_cell_angle_gamma 90.00
_symmetry_space_group_name_H-M 'C 1 m 1'
_symmetry_Int_Tables_number 8
_symmetry_space_group_name_Hall 'C -2y'
loop_
_atom_site_label
_atom_site_type_symbol
_atom_site_fract_x
_atom_site_fract_y
_atom_site_fract_z
Ba1 Ba 0.000 0.000 0.000
Ba2 Ba 0.168 0.500 0.945
Ca1 Ca 0.287 0.500 0.966
Ca2 Ca 0.383 0.500 0.976
Tl1 Tl 0.064 0.500 0.743
Tl2 Tl 0.103 0.000 0.221
Sn1 Sn 0.235 0.000 0.460
Sn2 Sn 0.342 0.000 0.472
Sn3 Sn 0.430 0.000 0.480
O1 O 0.045 0.000 0.453
O2 O 0.120 0.500 0.513
O3 O 0.186 0.000 0.458
O4 O 0.249 0.500 0.463
O5 O 0.251 0.000 0.962
O6 O 0.321 0.000 0.970
O7 O 0.326 0.500 0.470
O8 O 0.413 0.000 0.978
O9 O 0.416 0.500 0.478
O10 O 0.478 0.000 0.481
```



[5]
BaCaZrSnO6 | GGA-PBE | optimized geometry

## Properties
crystal system = cubic
size of the total moment = 0.0 μB/f.u.
calculated density = 5.5 g cm⁻³
E = -7.269 eV/atom

The structure in CIF format:
```
data_BaCaZrSnO6
_chemical_formula_sum 'Ba4 Ca4 Zr4 Sn4 O24'
_cell_length_a 8.335
_cell_length_b 8.335
_cell_length_c 8.335
_cell_angle_alpha 90.00
_cell_angle_beta 90.00
_cell_angle_gamma 90.00
_symmetry_space_group_name_H-M 'F -4 3 m'
_symmetry_Int_Tables_number 216
_symmetry_space_group_name_Hall 'F -4 2 3'
loop_
_atom_site_label
_atom_site_type_symbol
_atom_site_fract_x
_atom_site_fract_y
_atom_site_fract_z
Ba1 Ba 0.000 0.000 0.000
Ca1 Ca 0.000 0.000 0.500
Zr1 Zr 0.250 0.250 0.250
Sn1 Sn 0.250 0.250 0.750
O1 O 0.002 0.250 0.750
```



[6]
BaSr2CaO | GGA-PBE | optimized geometry

## Properties
crystal system = tetragonal
size of the total moment = 0.0 μB/f.u.
calculated density = 3.4 g cm⁻³
E = -3.368 eV/atom

The structure in CIF format:
```
data_BaSr2CaO
_chemical_formula_sum 'Ba1 Sr2 Ca1 O1'
_cell_length_a 5.288
_cell_length_b 5.288
_cell_length_c 6.373
_cell_angle_alpha 90.00
_cell_angle_beta 90.00
_cell_angle_gamma 90.00
_symmetry_space_group_name_H-M 'P 4/m m m'
_symmetry_Int_Tables_number 123
_symmetry_space_group_name_Hall '-P 4 2'
loop_
_atom_site_label
_atom_site_type_symbol
_atom_site_fract_x
_atom_site_fract_y
_atom_site_fract_z
Ba1 Ba 0.000 0.000 0.000
Sr1 Sr 0.000 0.500 0.500
Ca1 Ca 0.500 0.500 0.000
O1 O 0.000 0.000 0.500
```



[7]
Ba2SrCaO | GGA-PBE | optimized geometry

## Properties
crystal system = tetragonal
size of the total moment = 0.0 μB/f.u.
calculated density = 3.7 g cm⁻³
E = -3.401 eV/atom

The structure in CIF format:
```
data_Ba2SrCaO
_chemical_formula_sum 'Ba2 Sr1 Ca1 O1'
_cell_length_a 6.046
_cell_length_b 6.046
_cell_length_c 5.146
_cell_angle_alpha 90.00
_cell_angle_beta 90.00
_cell_angle_gamma 90.00
_symmetry_space_group_name_H-M 'P 4/m m m'
_symmetry_Int_Tables_number 123
_symmetry_space_group_name_Hall '-P 4 2'
loop_
_atom_site_label
_atom_site_type_symbol
_atom_site_fract_x
_atom_site_fract_y
_atom_site_fract_z
Ba1 Ba 0.000 0.500 0.000
Sr1 Sr 0.000 0.000 0.500
Ca1 Ca 0.500 0.500 0.500
O1 O 0.000 0.000 0.000
```